Material: V4Co4Rh3
Method: DFT, GGA-PBE
State: relaxed

Calculated values
Crystal system ... orthorhombic
Space group ... Immm

Unit cell a=3.6021 b=6.8488 c=7.0474 alpha=119.07 beta=104.81 gamma=90.00
Last column: nearest neighbours and their distance in Å.
Fractional coordinates of all 11 atoms:
V 0.2312 0.7312 0.4624  6 Co 2.30-2.41, 2 Rh 2.57
V 0.7688 0.2688 0.5376  6 Co 2.30-2.41, 2 Rh 2.57
V 0.5000 0.8032 0.0000  2 Co 2.22
V 0.5000 0.1968 0.0000  2 Co 2.22
Co 0.3241 0.1369 0.6482  4 V 2.22-2.41
Co 0.6759 0.4887 0.3518  4 V 2.22-2.41
Co 0.6759 0.8631 0.3518  4 V 2.22-2.41
Co 0.3241 0.5113 0.6482  4 V 2.22-2.41
Rh 0.1134 0.1134 0.2268  6 V 2.57-2.62, 1 Rh 2.67, 2 Co 2.79
Rh 0.8866 0.8866 0.7732  6 V 2.57-2.62, 1 Rh 2.67, 2 Co 2.79
Rh 0.0000 0.5000 0.0000  6 V 2.72-2.75, 8 Co 3.03


Material: V4CoRh4
Method: DFT, GGA-PBE
State: relaxed

Calculated values
Crystal system ... tetragonal
Space group ... I4/mmm

Unit cell a=3.6929 b=6.0140 c=6.0140 alpha=84.59 beta=72.12 gamma=72.12
Last column: nearest neighbours and their distance in Å.
Fractional coordinates of all 9 atoms:
V 0.6796 0.3204 0.3204  1 Co 2.59, 6 Rh 2.60-2.72, 4 V 2.76
V 0.3204 0.6796 0.6796  1 Co 2.59, 6 Rh 2.60-2.72, 4 V 2.76
V 0.0000 0.6796 0.3204  1 Co 2.59, 6 Rh 2.60-2.72, 4 V 2.76
V 0.0000 0.3204 0.6796  1 Co 2.59, 6 Rh 2.60-2.72, 4 V 2.76
Co 0.0000 0.0000 0.0000  4 V 2.59, 8 Rh 2.63
Rh 0.6639 0.6723 0.9999  6 V 2.60-2.72, 2 Co 2.63, 4 Rh 2.65-2.70
Rh 0.3361 0.3277 0.0001  6 V 2.60-2.72, 2 Co 2.63, 4 Rh 2.65-2.70
Rh 0.6638 0.0001 0.6723  6 V 2.60-2.72, 2 Co 2.63, 4 Rh 2.65-2.70
Rh 0.3362 0.9999 0.3277  6 V 2.60-2.72, 2 Co 2.63, 4 Rh 2.65-2.70


Material: V6CoRh2
Method: DFT, GGA-PBE
State: relaxed

Calculated values
Crystal system ... monoclinic
Space group ... C2/m

Unit cell a=3.7395 b=5.8580 c=7.2506 alpha=113.83 beta=105.11 gamma=90.00
Last column: nearest neighbours and their distance in Å.
Fractional coordinates of all 9 atoms:
V 0.1471 0.3918 0.2936  1 Co 2.35, 3 Rh 2.47-2.49
V 0.8529 0.0982 0.7064  1 Co 2.35, 3 Rh 2.47-2.49
V 0.8529 0.6082 0.7064  1 Co 2.35, 3 Rh 2.47-2.49
V 0.5000 0.2618 0.0000  2 Co 2.42, 4 V 2.64-2.65
V 0.1471 0.9018 0.2936  1 Co 2.35, 3 Rh 2.47-2.49
V 0.5000 0.7382 0.0000  2 Co 2.42, 4 V 2.64-2.65
Co 0.0000 0.0000 0.0000  8 V 2.35-2.42
Rh 0.6940 0.6936 0.3871  6 V 2.47-2.49
Rh 0.3060 0.3064 0.6129  6 V 2.47-2.49


Material: V5Co3Rh12
Method: DFT, GGA-PBE
State: relaxed

Calculated values
Crystal system ... cubic
Space group ... Ia-3d

Unit cell a=12.0105 b=12.0105 c=12.0105 alpha=109.47 beta=109.47 gamma=109.47
Last column: nearest neighbours and their distance in Å.
Fractional coordinates of all 80 atoms:
Co 0.7500 0.3750 0.1250  8 Rh 2.42-2.69
Co 0.8750 0.7500 0.1250  8 Rh 2.42-2.69
Co 0.3750 0.7500 0.6250  8 Rh 2.42-2.69
Co 0.2500 0.1250 0.3750  8 Rh 2.42-2.69
Co 0.8750 0.1250 0.2500  8 Rh 2.42-2.69
Co 0.3750 0.6250 0.2500  8 Rh 2.42-2.69
Co 0.6250 0.3750 0.7500  8 Rh 2.42-2.69
Co 0.1250 0.8750 0.7500  8 Rh 2.42-2.69
Co 0.7500 0.8750 0.6250  8 Rh 2.42-2.69
Co 0.6250 0.2500 0.3750  8 Rh 2.42-2.69
Co 0.1250 0.2500 0.8750  8 Rh 2.42-2.69
Co 0.2500 0.6250 0.8750  8 Rh 2.42-2.69
V 0.1250 0.3750 0.2500  4 Rh 2.27
V 0.0000 0.5000 0.0000  6 Rh 2.38
V 0.0000 0.0000 0.0000  6 Rh 2.38
V 0.3750 0.2500 0.1250  4 Rh 2.27
V 0.5000 0.0000 0.5000  6 Rh 2.38
V 0.5000 0.5000 0.0000  6 Rh 2.38
V 0.1250 0.7500 0.3750  4 Rh 2.27
V 0.7500 0.1250 0.8750  4 Rh 2.27
V 0.7500 0.6250 0.3750  4 Rh 2.27
V 0.3750 0.1250 0.7500  4 Rh 2.27
V 0.6250 0.8750 0.2500  4 Rh 2.27
V 0.5000 0.5000 0.5000  6 Rh 2.38
V 0.5000 0.0000 0.0000  6 Rh 2.38
V 0.0000 0.0000 0.5000  6 Rh 2.38
V 0.2500 0.3750 0.6250  4 Rh 2.27
V 0.2500 0.8750 0.1250  4 Rh 2.27
V 0.0000 0.5000 0.5000  6 Rh 2.38
V 0.8750 0.2500 0.6250  4 Rh 2.27
V 0.6250 0.7500 0.8750  4 Rh 2.27
V 0.8750 0.6250 0.7500  4 Rh 2.27
Rh 0.7300 0.1296 0.0577  2 V 2.27-2.38, 1 Co 2.42
Rh 0.3277 0.5577 0.4281  2 V 2.27-2.38, 1 Co 2.42
Rh 0.9423 0.3704 0.2700  2 V 2.27-2.38, 1 Co 2.42
Rh 0.5577 0.2300 0.1296  2 V 2.27-2.38, 1 Co 2.42
Rh 0.6004 0.7300 0.6723  2 V 2.27-2.38, 1 Co 2.42
Rh 0.9423 0.5719 0.1723  2 V 2.27-2.38, 1 Co 2.42
Rh 0.3277 0.7700 0.3996  2 V 2.27-2.38, 1 Co 2.42
Rh 0.0719 0.8996 0.1296  2 V 2.27-2.38, 1 Co 2.42
Rh 0.5719 0.9423 0.6723  2 V 2.27-2.38, 1 Co 2.42
Rh 0.7300 0.6004 0.1723  2 V 2.27-2.38, 1 Co 2.42
Rh 0.7700 0.4423 0.3704  2 V 2.27-2.38, 1 Co 2.42
Rh 0.8277 0.9281 0.0577  2 V 2.27-2.38, 1 Co 2.42
Rh 0.1296 0.7300 0.5577  2 V 2.27-2.38, 1 Co 2.42
Rh 0.3704 0.4281 0.1004  2 V 2.27-2.38, 1 Co 2.42
Rh 0.1004 0.9281 0.3704  2 V 2.27-2.38, 1 Co 2.42
Rh 0.3996 0.1296 0.5719  2 V 2.27-2.38, 1 Co 2.42
Rh 0.1004 0.1723 0.2300  2 V 2.27-2.38, 1 Co 2.42
Rh 0.4423 0.6723 0.0719  2 V 2.27-2.38, 1 Co 2.42
Rh 0.8277 0.8996 0.2700  2 V 2.27-2.38, 1 Co 2.42
Rh 0.1296 0.3996 0.0719  2 V 2.27-2.38, 1 Co 2.42
Rh 0.3704 0.9423 0.7700  2 V 2.27-2.38, 1 Co 2.42
Rh 0.5719 0.6296 0.3996  2 V 2.27-2.38, 1 Co 2.42
Rh 0.9281 0.8277 0.5577  2 V 2.27-2.38, 1 Co 2.42
Rh 0.7700 0.3277 0.8996  2 V 2.27-2.38, 1 Co 2.42
Rh 0.4281 0.3704 0.6004  2 V 2.27-2.38, 1 Co 2.42
Rh 0.0719 0.1723 0.4423  2 V 2.27-2.38, 1 Co 2.42
Rh 0.2300 0.6723 0.1004  2 V 2.27-2.38, 1 Co 2.42
Rh 0.1723 0.1004 0.7300  2 V 2.27-2.38, 1 Co 2.42
Rh 0.6296 0.0577 0.2300  2 V 2.27-2.38, 1 Co 2.42
Rh 0.8704 0.6004 0.9281  2 V 2.27-2.38, 1 Co 2.42
Rh 0.5577 0.3277 0.9281  2 V 2.27-2.38, 1 Co 2.42
Rh 0.6004 0.8704 0.4281  2 V 2.27-2.38, 1 Co 2.42
Rh 0.8996 0.8277 0.7700  2 V 2.27-2.38, 1 Co 2.42
Rh 0.8996 0.0719 0.6296  2 V 2.27-2.38, 1 Co 2.42
Rh 0.8704 0.2700 0.4423  2 V 2.27-2.38, 1 Co 2.42
Rh 0.1723 0.0719 0.9423  2 V 2.27-2.38, 1 Co 2.42
Rh 0.6296 0.5719 0.8996  2 V 2.27-2.38, 1 Co 2.42
Rh 0.4281 0.0577 0.3277  2 V 2.27-2.38, 1 Co 2.42
Rh 0.2700 0.3996 0.8277  2 V 2.27-2.38, 1 Co 2.42
Rh 0.2300 0.5577 0.6296  2 V 2.27-2.38, 1 Co 2.42
Rh 0.9281 0.1004 0.8704  2 V 2.27-2.38, 1 Co 2.42
Rh 0.6723 0.2300 0.6004  2 V 2.27-2.38, 1 Co 2.42
Rh 0.4423 0.7700 0.8704  2 V 2.27-2.38, 1 Co 2.42
Rh 0.0577 0.4281 0.8277  2 V 2.27-2.38, 1 Co 2.42
Rh 0.3996 0.2700 0.3277  2 V 2.27-2.38, 1 Co 2.42
Rh 0.0577 0.6296 0.7300  2 V 2.27-2.38, 1 Co 2.42
Rh 0.6723 0.4423 0.5719  2 V 2.27-2.38, 1 Co 2.42
Rh 0.2700 0.8704 0.9423  2 V 2.27-2.38, 1 Co 2.42


Material: VCo2Rh8
Method: DFT, GGA-PBE
State: relaxed

Calculated values
Crystal system ... monoclinic
Space group ... C2/m

Unit cell a=4.6021 b=6.5968 c=6.5968 alpha=57.61 beta=76.65 gamma=76.65
Last column: nearest neighbours and their distance in Å.
Fractional coordinates of all 11 atoms:
V 0.0000 0.0000 0.0000  6 Rh 2.37-2.50, 2 Co 2.40
Co 0.5074 0.8752 0.8752  1 V 2.40, 5 Rh 2.47-2.60
Co 0.4926 0.1248 0.1248  1 V 2.40, 5 Rh 2.47-2.60
Rh 0.2165 0.3672 0.7685  1 V 2.37, 1 Co 2.47, 1 Rh 2.55
Rh 0.7835 0.2315 0.6328  1 V 2.37, 1 Co 2.47, 1 Rh 2.55
Rh 0.0860 0.7772 0.7772  2 Co 2.49-2.60, 1 V 2.50, 6 Rh 2.66-2.73
Rh 0.9140 0.2228 0.2228  2 Co 2.49-2.60, 1 V 2.50, 6 Rh 2.66-2.73
Rh 0.2165 0.7685 0.3672  1 V 2.37, 1 Co 2.47, 1 Rh 2.55
Rh 0.7835 0.6328 0.2315  1 V 2.37, 1 Co 2.47, 1 Rh 2.55
Rh 0.6675 0.6501 0.6501  1 Co 2.51, 8 Rh 2.69-2.81
Rh 0.3325 0.3499 0.3499  1 Co 2.51, 8 Rh 2.69-2.81


Material: V2CoRh6
Method: DFT, GGA-PBE
State: relaxed

Calculated values
Crystal system ... orthorhombic
Space group ... Fmmm

Unit cell a=3.8365 b=5.8291 c=6.0949 alpha=84.06 beta=71.66 gamma=70.79
Last column: nearest neighbours and their distance in Å.
Fractional coordinates of all 9 atoms:
V 0.3466 0.5000 0.8067  8 Rh 2.51-2.67, 2 Co 2.61
V 0.6534 0.5000 0.1933  8 Rh 2.51-2.67, 2 Co 2.61
Co 0.0000 0.5000 0.5000  8 Rh 2.59-2.62, 4 V 2.61
Rh 0.9864 0.1903 0.8370  3 V 2.57-2.67, 1 Co 2.59, 8 Rh 2.69-2.84
Rh 0.3234 0.1903 0.1630  3 V 2.57-2.67, 1 Co 2.59, 8 Rh 2.69-2.84
Rh 0.6766 0.8097 0.8370  3 V 2.57-2.67, 1 Co 2.59, 8 Rh 2.69-2.84
Rh 0.3386 0.8229 0.5000  2 V 2.51, 2 Co 2.62, 8 Rh 2.74-2.81
Rh 0.6614 0.1771 0.5000  2 V 2.51, 2 Co 2.62, 8 Rh 2.74-2.81
Rh 0.0136 0.8097 0.1630  3 V 2.57-2.67, 1 Co 2.59, 8 Rh 2.69-2.84


Material: V6Co5Rh
Method: DFT, GGA-PBE
State: relaxed

Calculated values
Crystal system ... orthorhombic
Space group ... Immm

Unit cell a=4.1368 b=5.8392 c=7.1665 alpha=114.04 beta=106.78 gamma=90.00
Last column: nearest neighbours and their distance in Å.
Fractional coordinates of all 12 atoms:
Rh 0.0000 0.0000 0.0000  8 V 2.58-2.60
Co 0.3374 0.8376 0.6751  8 V 2.50-2.56
Co 0.6668 0.6666 0.3333  8 V 2.49-2.51
Co 0.0000 0.5000 0.0000  8 V 2.49-2.56
Co 0.3332 0.3334 0.6667  8 V 2.49-2.51
Co 0.6626 0.1624 0.3249  8 V 2.50-2.56
V 0.1718 0.4281 0.3432  7 Co 2.50-2.56, 1 Rh 2.60
V 0.1717 0.9152 0.3433  7 Co 2.50-2.56, 1 Rh 2.60
V 0.5000 0.2637 0.0000  6 Co 2.49-2.54, 2 Rh 2.58, 1 V 2.76
V 0.5000 0.7363 0.0000  6 Co 2.49-2.54, 2 Rh 2.58, 1 V 2.76
V 0.8283 0.0848 0.6567  7 Co 2.50-2.56, 1 Rh 2.60
V 0.8282 0.5719 0.6568  7 Co 2.50-2.56, 1 Rh 2.60


Material: VCoRh6
Method: DFT, GGA-PBE
State: relaxed

Calculated values
Crystal system ... monoclinic
Space group ... C2/m

Unit cell a=5.4848 b=5.4848 c=5.3509 alpha=104.25 beta=104.25 gamma=121.80
Last column: nearest neighbours and their distance in Å.
Fractional coordinates of all 8 atoms:
V 0.0000 0.0000 0.0000  6 Rh 2.24-2.50
Co 0.5000 0.5000 0.5000  6 Rh 2.40-2.49, 2 V 2.65
Rh 0.2391 0.2391 0.7560  1 V 2.24, 1 Co 2.40
Rh 0.4715 0.0310 0.2517  1 Co 2.49, 1 V 2.50, 7 Rh 2.64-2.75
Rh 0.7609 0.7609 0.2440  1 V 2.24, 1 Co 2.40
Rh 0.9690 0.5285 0.7483  1 Co 2.49, 1 V 2.50, 7 Rh 2.64-2.75
Rh 0.5285 0.9690 0.7483  1 Co 2.49, 1 V 2.50, 7 Rh 2.64-2.75
Rh 0.0310 0.4715 0.2517  1 Co 2.49, 1 V 2.50, 7 Rh 2.64-2.75


Number 1: raw total energy -0.5744 Ry/atom. Number 2: raw total energy -0.6168 Ry/atom. Number 3: raw total energy -0.6012 Ry/atom. Number 4: raw total energy -0.5383 Ry/atom. Number 5: raw total energy -0.5261 Ry/atom. Number 6: raw total energy -0.5872 Ry/atom. Number 7: raw total energy -0.6042 Ry/atom. Number 8: raw total energy -0.5344 Ry/atom.